# 1
DFT (GGA-PBE) results for a geometry-optimized PmMn2I8 structure.

Lattice parameters (Å, degrees): 12.3254 12.6803 7.2209 90.00 100.16 90.00
Space group C2/m (No. 12)
Asymmetric unit:
Pm (0.0000, 0.0000, 0.0000)
Mn (0.2145, 0.0000, 0.6666)
I (0.0734, 0.5000, 0.2138)
I (0.1090, 0.1688, 0.7799)
I (0.2206, 0.0000, 0.2987)

Properties
For the energy relative to the elements, uncorrected, the calculation gives -0.71 eV per atom. The calculation puts the raw total energy at -3.9382 eV per atom.

=====

# 2
DFT (GGA-PBE) results for a geometry-optimized Zr3InSb structure.

Lattice parameters (Å, degrees): 5.2735 5.2735 5.2735 90.00 90.00 90.00
Space group Pm-3m (No. 221)
Asymmetric unit:
Zr (0.0000, 0.0000, 0.5000)
In (0.5000, 0.5000, 0.5000)
Sb (0.0000, 0.0000, 0.0000)

Properties
For the energy relative to the elements, uncorrected, the calculation gives 0.51 eV per atom. The calculation puts the density of states at the Fermi level at 0.276 states/eV per atom. The calculation puts the raw total energy at -5.9882 eV per atom. The calculation puts the distance to the lowest polymorph of the same formula at 0.731 eV/atom.

=====

# 3
DFT (GGA-PBE) results for a geometry-optimized Zr2NCl structure.

Lattice parameters (Å, degrees): 5.4959 5.4959 10.6798 90.00 90.00 90.00
Space group I-42d (No. 122)
Asymmetric unit:
Zr (0.1684, 0.2500, 0.1250)
N (0.0000, 0.0000, 0.0000)
Cl (0.0000, 0.0000, 0.5000)

Properties
For the energy relative to the elements, uncorrected, the calculation gives -0.82 eV per atom. The calculation puts the density of states at the Fermi level at 0.650 states/eV per atom. The calculation puts the raw total energy at -7.6352 eV per atom.

=====

# 4
DFT (GGA-PBE) results for a geometry-optimized PrHo3Sb3 structure.

Lattice parameters (Å, degrees): 9.1103 9.1103 18.3918 90.00 90.00 120.00
Space group R-3 (No. 148, hexagonal axes)
Asymmetric unit:
Pr (0.0000, 0.0000, 0.1656)
Ho (0.0022, 0.2679, 0.5845)
Sb (0.0038, 0.3796, 0.4171)

Properties
For the energy relative to the elements, uncorrected, the calculation gives -0.88 eV per atom. The calculation puts the density of states at the Fermi level at 0.612 states/eV per atom. The calculation puts the raw total energy at -5.2937 eV per atom.

=====

# 5
DFT (GGA-PBE) results for a geometry-optimized Sr3Hg2Au9 structure.

Lattice parameters (Å, degrees): 4.7980 9.7551 14.2292 90.00 90.00 90.00
Space group Immm (No. 71)
Asymmetric unit:
Sr (0.0000, 0.0000, 0.0000)
Sr (0.0000, 0.0000, 0.2947)
Hg (0.0000, 0.1920, 0.5000)
Au (0.0000, 0.2829, 0.1342)
Au (0.0000, 0.3597, 0.3329)
Au (0.0000, 0.5000, 0.0000)

Properties
The calculation puts the density of states at the Fermi level at 0.306 states/eV per atom. The calculation puts the raw total energy at -3.0084 eV per atom.

=====

# 6
DFT (GGA-PBE) results for a geometry-optimized K2YAg structure.

Lattice parameters (Å, degrees): 10.6234 10.6234 6.0974 90.00 90.00 90.00
Space group I-42d (No. 122)
Asymmetric unit:
K (0.1672, 0.2500, 0.1250)
Y (0.0000, 0.0000, 0.5000)
Ag (0.0000, 0.0000, 0.0000)

Properties
The calculation puts the density of states at the Fermi level at 0.828 states/eV per atom. The calculation puts the raw total energy at -2.3852 eV per atom. The calculation puts the distance to the lowest polymorph of the same formula at 0.404 eV/atom.